LiAg2Rh after structural relaxation, computed with GGA-PBE.

Lattice parameters (Å, degrees): 4.705 4.705 4.705 127.53 127.53 77.38
Element x y z (fractional)
Li: 0.000 0.000 0.000
Ag: 0.250 0.750 0.500
Ag: 0.750 0.250 0.500
Rh: 0.500 0.500 0.000

## Properties
ΔE_f: 0.0394 eV per atom
Electronic total energy: -3.703 eV/atom


LaPm2Nd3As6 after structural relaxation, computed with GGA-PBE.

Lattice parameters (Å, degrees): 7.411 7.411 7.412 99.59 99.59 119.99
Element x y z (fractional)
La: 0.000 0.000 0.000
Pm: 0.333 0.667 0.000
Pm: 0.667 0.333 0.000
Nd: 0.166 0.834 0.500
Nd: 0.500 0.500 0.500
Nd: 0.834 0.166 0.500
As: 0.083 0.420 0.250
As: 0.253 0.253 0.750
As: 0.420 0.083 0.250
As: 0.580 0.917 0.750
As: 0.747 0.747 0.250
As: 0.917 0.580 0.750

## Properties
ΔE_f: -1.5258 eV per atom
Electronic total energy: -6.245 eV/atom


MgTlBr2 after structural relaxation, computed with GGA-PBE.

Lattice parameters (Å, degrees): 11.436 11.436 11.436 19.01 19.01 19.01
Element x y z (fractional)
Mg: 0.000 0.000 0.000
Tl: 0.500 0.500 0.500
Br: 0.287 0.287 0.287
Br: 0.713 0.713 0.713

## Properties
Excess energy over the best structure of this formula in the dataset: 0.010 eV/atom
Electronic total energy: -2.797 eV/atom
Formation energy from raw total energies: -22.366 kcal/mol of atoms


Pm3Tl3SiO8 after structural relaxation, computed with GGA-PBE.

Lattice parameters (Å, degrees): 7.655 7.655 7.655 53.43 53.43 53.43
Element x y z (fractional)
Pm: 0.000 0.500 0.500
Pm: 0.500 0.000 0.500
Pm: 0.500 0.500 0.000
Tl: 0.000 0.000 0.500
Tl: 0.000 0.500 0.000
Tl: 0.500 0.000 0.000
Si: 0.000 0.000 0.000
O: 0.187 0.187 0.781
O: 0.187 0.781 0.187
O: 0.219 0.813 0.813
O: 0.275 0.275 0.275
O: 0.725 0.725 0.725
O: 0.781 0.187 0.187
O: 0.813 0.219 0.813
O: 0.813 0.813 0.219

## Properties
Electronic total energy: -6.609 eV/atom
Formation energy from raw total energies: -50.265 kcal/mol of atoms


- What is the electronic total energy in the first record?
  -3.703 eV/atom


- What is the electronic total energy in the second record?
  -6.245 eV/atom